# K2ScTc

A geometry-optimized K2ScTc structure (PBE-GGA, Alexandria).

The energy above the most stable polymorph in this dataset is 0.1075 eV per atom. As for the formation energy: 0.6587 eV/atom. The density of states at the Fermi level is 2.90 states/eV/f.u. As for the magnetic moment: 0.0 Bohr magnetons per cell. As for the total energy: -4.064 eV/atom.

The structure belongs to space group Cm (No. 8); the cell edges are 8.962, 3.167 and 10.620 Å and the angles 90.00°, 102.13° and 90.00°. The inequivalent atoms are K at (0.000, 0.000, 0.000), K at (0.147, 0.000, 0.596), Sc at (0.340, 0.000, 0.298) and Tc at (0.106, 0.500, 0.298).